# Cs2Na16Sr

Cs2Na16Sr after structural relaxation (GGA-PBE, the Alexandria database).

POSCAR file:
```
Cs2Na16Sr
1.0
9.5280 0.0907 1.1751
1.0501 9.4704 1.1751
0.1003 0.0907 9.5996
Cs Na Sr
2 16 1
Direct
0.6530 0.6530 0.6530 Cs
0.3439 0.3439 0.3439 Cs
0.7097 0.0005 0.2889 Na
0.0005 0.2889 0.7097 Na
0.2889 0.7097 0.0005 Na
0.0005 0.7097 0.2889 Na
0.7097 0.2889 0.0005 Na
0.2889 0.0005 0.7097 Na
0.3438 0.8548 0.3438 Na
0.8548 0.3438 0.3438 Na
0.3438 0.3438 0.8548 Na
0.6528 0.1510 0.6528 Na
0.1510 0.6528 0.6528 Na
0.6528 0.6528 0.1510 Na
0.0015 0.4914 0.0015 Na
0.4914 0.0015 0.0015 Na
0.0015 0.0015 0.4914 Na
0.1056 0.1056 0.1056 Na
0.9058 0.9058 0.9058 Sr
```

# Cs2Na4Sr

Cs2Na4Sr after structural relaxation (GGA-PBE, the Alexandria database).

POSCAR file:
```
Cs2Na4Sr
1.0
7.0149 0.0000 0.0000
0.0000 7.0149 0.0000
3.5074 3.5074 10.8648
Cs Sr Na
2 1 4
Direct
0.3741 0.3741 0.2518 Cs
0.6259 0.6259 0.7482 Cs
0.0000 0.0000 0.0000 Sr
0.1752 0.1752 0.6496 Na
0.8248 0.8248 0.3504 Na
0.0000 0.5000 0.0000 Na
0.5000 0.0000 0.0000 Na
```

# CsNa5Sr4

CsNa5Sr4 after structural relaxation (GGA-PBE, the Alexandria database).

POSCAR file:
```
CsNa5Sr4
1.0
-3.3920 -0.9533 2.8095
0.4437 -4.3824 -0.9514
15.9538 -2.3902 18.4501
Cs Na Sr
1 5 4
Direct
0.0000 0.0000 0.0000 Cs
0.5000 0.5000 0.1284 Na
0.5000 0.5000 0.3147 Na
0.5000 0.5000 0.5000 Na
0.5000 0.5000 0.6853 Na
0.5000 0.5000 0.8716 Na
0.0000 0.0000 0.2227 Sr
0.0000 0.0000 0.4066 Sr
0.0000 0.0000 0.5934 Sr
0.0000 0.0000 0.7773 Sr
```

Taking the records one at a time from the top gives formation enthalpy at 0 K values of 0.021, 0.235, 0.035 eV per atom.